Al2Os3 | PBE | relaxed

Computed properties:
**Polymorph energy (0 for the lowest one)**: 393.4 meV per atom
**Magnetization**: 0.00 Bohr magnetons per cell
**V**: 75.6 Å³/cell
**Crystal system**: trigonal
**Total DFT energy (no corrections)**: -7.95 eV/atom
**Formation energy**: 0.280 eV per atom

a = 4.1180 Å, b = 4.1180 Å, c = 5.1512 Å
α = 90.00°, β = 90.00°, γ = 120.00°
Closest atoms and distances in Å follow each position.
Atoms (fractional coordinates):
1 Al 0.6667 0.3333 0.1412  8 Os 2.47-2.68
2 Al 0.3333 0.6667 0.8588  8 Os 2.47-2.68
3 Os 0.0000 0.0000 0.0000  6 Al 2.49
4 Os 0.6667 0.3333 0.6215  5 Al 2.47-2.68, 3 Os 2.69
5 Os 0.3333 0.6667 0.3785  5 Al 2.47-2.68, 3 Os 2.69

***

Th2RuI2 | PBE | relaxed

Computed properties:
**Uncorrected formation energy**: -0.95 eV/atom
**Magnetization**: 0.00 Bohr magnetons per cell
**V**: 177.8 Å³/cell
**Crystal system**: trigonal
**Total DFT energy (no corrections)**: -6.39 eV/atom

a = 4.1624 Å, b = 4.1624 Å, c = 12.0940 Å
α = 80.09°, β = 80.09°, γ = 60.00°
Closest atoms and distances in Å follow each position.
Atoms (fractional coordinates):
1 Th 0.6234 0.6234 0.1298  3 Ru 2.85
2 Th 0.3766 0.3766 0.8702  3 Ru 2.85
3 Ru 0.0000 0.0000 0.0000  6 Th 2.85
4 I 0.2242 0.2242 0.3274  3 Th 3.36
5 I 0.7758 0.7758 0.6726  3 Th 3.36

***

EuY2Se4 | PBE | relaxed

Computed properties:
**Uncorrected formation energy**: -1.94 eV/atom
**Magnetization**: 28.00 Bohr magnetons per cell
**V**: 774.6 Å³/cell
**Crystal system**: orthorhombic
**Total DFT energy (no corrections)**: -7.25 eV/atom

a = 4.1342 Å, b = 12.5421 Å, c = 14.9393 Å
α = 90.00°, β = 90.00°, γ = 90.00°
Closest atoms and distances in Å follow each position.
Atoms (fractional coordinates):
1 Eu 0.7500 0.2413 0.6655  8 Se 3.16-3.45
2 Eu 0.7500 0.7413 0.8345  8 Se 3.16-3.45
3 Eu 0.2500 0.7587 0.3345  8 Se 3.16-3.45
4 Eu 0.2500 0.2587 0.1655  8 Se 3.16-3.45
5 Y 0.7500 0.5636 0.6111  6 Se 2.83-2.90
6 Y 0.7500 0.0636 0.8889  6 Se 2.83-2.90
7 Y 0.2500 0.4364 0.3889  6 Se 2.83-2.90
8 Y 0.2500 0.9364 0.1111  6 Se 2.83-2.90
9 Y 0.7500 0.5840 0.0973  6 Se 2.81-2.90
10 Y 0.7500 0.0840 0.4027  6 Se 2.81-2.90
11 Y 0.2500 0.4160 0.9027  6 Se 2.81-2.90
12 Y 0.2500 0.9160 0.5973  6 Se 2.81-2.90
13 Se 0.7500 0.7946 0.1772  3 Y 2.90, 2 Eu 3.16
14 Se 0.7500 0.2946 0.3228  3 Y 2.90, 2 Eu 3.16
15 Se 0.2500 0.2054 0.8228  3 Y 2.90, 2 Eu 3.16
16 Se 0.2500 0.7054 0.6772  3 Y 2.90, 2 Eu 3.16
17 Se 0.7500 0.8676 0.4677  3 Y 2.88-2.90, 2 Eu 3.18
18 Se 0.7500 0.3676 0.0323  3 Y 2.88-2.90, 2 Eu 3.18
19 Se 0.2500 0.1324 0.5323  3 Y 2.88-2.90, 2 Eu 3.18
20 Se 0.2500 0.6324 0.9677  3 Y 2.88-2.90, 2 Eu 3.18
21 Se 0.7500 0.9723 0.7154  3 Y 2.81-2.83
22 Se 0.7500 0.4723 0.7846  3 Y 2.81-2.83
23 Se 0.2500 0.0277 0.2846  3 Y 2.81-2.83
24 Se 0.2500 0.5277 0.2154  3 Y 2.81-2.83
25 Se 0.7500 0.5919 0.4214  3 Y 2.86-2.88
26 Se 0.7500 0.0919 0.0786  3 Y 2.86-2.88
27 Se 0.2500 0.4081 0.5786  3 Y 2.86-2.88
28 Se 0.2500 0.9081 0.9214  3 Y 2.86-2.88

***

Tb5Nd2Tm4 | PBE | relaxed

Computed properties:
**Polymorph energy (0 for the lowest one)**: 0.0 meV per atom
**Magnetization**: 0.00 Bohr magnetons per cell
**V**: 349.6 Å³/cell
**Crystal system**: monoclinic
**Total DFT energy (no corrections)**: -4.58 eV/atom
**Formation energy**: 0.020 eV per atom

a = 3.5578 Å, b = 8.7054 Å, c = 11.7931 Å
α = 104.31°, β = 98.68°, γ = 90.00°
Closest atoms and distances in Å follow each position.
Atoms (fractional coordinates):
1 Tb 0.1367 0.0937 0.2735  3 Tm 3.51-3.53, 7 Tb 3.54-3.60, 2 Nd 3.59
2 Tb 0.8633 0.9063 0.7265  3 Tm 3.51-3.53, 7 Tb 3.54-3.60, 2 Nd 3.59
3 Tb 0.2276 0.8152 0.4552  3 Tm 3.52-3.54, 7 Tb 3.54-3.60, 2 Nd 3.57
4 Tb 0.5000 0.0000 0.0000  4 Tm 3.55, 6 Tb 3.56, 2 Nd 3.56
5 Tb 0.7724 0.1848 0.5448  3 Tm 3.52-3.54, 7 Tb 3.54-3.60, 2 Nd 3.57
6 Nd 0.5904 0.7256 0.1809  5 Tm 3.55-3.57, 2 Nd 3.56, 5 Tb 3.56-3.59
7 Nd 0.4096 0.2744 0.8191  5 Tm 3.55-3.57, 2 Nd 3.56, 5 Tb 3.56-3.59
8 Tm 0.6822 0.4538 0.3643  5 Tb 3.52-3.54, 6 Tm 3.53-3.56, 1 Nd 3.56
9 Tm 0.0469 0.3625 0.0937  3 Tb 3.51-3.55, 5 Tm 3.53-3.62, 4 Nd 3.55-3.57
10 Tm 0.3178 0.5462 0.6357  5 Tb 3.52-3.54, 6 Tm 3.53-3.56, 1 Nd 3.56
11 Tm 0.9531 0.6375 0.9063  3 Tb 3.51-3.55, 5 Tm 3.53-3.62, 4 Nd 3.55-3.57

***

NaAc2Ce3Te6 | PBE | relaxed

Computed properties:
**Uncorrected formation energy**: -1.38 eV/atom
**Magnetization**: 3.71 Bohr magnetons per cell
**V**: 413.8 Å³/cell
**Crystal system**: monoclinic
**Total DFT energy (no corrections)**: -5.22 eV/atom

a = 4.5639 Å, b = 9.2863 Å, c = 10.3453 Å
α = 104.24°, β = 102.74°, γ = 90.00°
Closest atoms and distances in Å follow each position.
Atoms (fractional coordinates):
1 Na 0.5000 0.0000 0.0000  6 Te 3.24-3.27
2 Ac 0.8334 0.6666 0.6668  6 Te 3.31-3.33
3 Ac 0.1666 0.3334 0.3332  6 Te 3.31-3.33
4 Ce 0.5000 0.5000 0.0000  6 Te 3.18-3.24
5 Ce 0.8324 0.1689 0.6648  6 Te 3.18-3.26
6 Ce 0.1676 0.8311 0.3352  6 Te 3.18-3.26
7 Te 0.3344 0.9283 0.6687  3 Ce 3.20-3.26, 1 Na 3.24, 2 Ac 3.33
8 Te 0.6631 0.5902 0.3261  3 Ce 3.18, 3 Ac 3.31-3.33
9 Te 0.6656 0.0717 0.3313  3 Ce 3.20-3.26, 1 Na 3.24, 2 Ac 3.33
10 Te 0.9965 0.2507 0.9930  3 Ce 3.21-3.24, 2 Na 3.27, 1 Ac 3.32
11 Te 0.0035 0.7493 0.0070  3 Ce 3.21-3.24, 2 Na 3.27, 1 Ac 3.32
12 Te 0.3369 0.4098 0.6739  3 Ce 3.18, 3 Ac 3.31-3.33